A PBEsol-optimized structure of RbSrIn2Tc. Source: the Alexandria database, functional SCAN.

Summary:
**E**: -28.5739 eV per atom
**Total magnetization**: 0.0 Bohr magnetons per cell
**ΔH_f (0 K)**: 0.40 eV per atom
**DOS(E_F)**: 0.642 states/eV per atom

Lattice parameters (Å, degrees): 5.283 5.283 5.441 90.00 90.00 90.00
Space group P4/mmm (No. 123)
Symmetry-distinct sites (fractional):
Rb: 0.000 0.000 0.000
Sr: 0.500 0.500 0.000
In: 0.000 0.500 0.500
Tc: 0.000 0.000 0.500

=====

A PBEsol-optimized structure of RbInTc3. Source: the Alexandria database, functional SCAN.

Summary:
**E**: -29.6785 eV per atom
**Total magnetization**: 8.9 Bohr magnetons per cell
**ΔH_f (0 K)**: 2.18 eV per atom
**DOS(E_F)**: 1.327 states/eV per atom

Lattice parameters (Å, degrees): 5.120 5.120 5.120 90.00 90.00 90.00
Space group Pm-3m (No. 221)
Symmetry-distinct sites (fractional):
Rb: 0.000 0.000 0.000
In: 0.500 0.500 0.500
Tc: 0.000 0.500 0.500

=====

A PBEsol-optimized structure of RbInTe2. Source: the Alexandria database, functional SCAN.

Summary:
**E**: -32.9281 eV per atom
**Total magnetization**: 0.0 Bohr magnetons per cell
**Energy relative to the elements, uncorrected**: -771 meV/atom
**DOS(E_F)**: 0.000 states/eV per atom

Lattice parameters (Å, degrees): 8.305 8.305 9.326 90.00 90.00 90.00
Space group I-42d (No. 122)
Symmetry-distinct sites (fractional):
Rb: 0.000 0.000 0.000
In: 0.000 0.000 0.500
Te: 0.174 0.750 0.625

=====

A PBEsol-optimized structure of RbInTe2. Source: the Alexandria database, functional SCAN.

Summary:
**E**: -32.9736 eV per atom
**Total magnetization**: 0.0 Bohr magnetons per cell
**Energy relative to the elements, uncorrected**: -817 meV/atom

Lattice parameters (Å, degrees): 8.746 8.746 7.339 90.00 90.00 90.00
Space group I4/mcm (No. 140)
Symmetry-distinct sites (fractional):
Rb: 0.000 0.000 0.250
In: 0.000 0.500 0.250
Te: 0.174 0.326 0.000

=====

The lowest E belongs to which entry? number 4

=====

Number 4 is which compound? RbInTe2

=====

Among the records above, which one has the lowest E? number 4

=====

Which of these has the highest E? RbSrIn2Tc